Below is a relaxed structure of TlCrNi, with properties calculated at the GGA-PBE level.

Cell: 6.0714 6.0714 6.0714 Å, 90.00 90.00 90.00°
Last column: nearest neighbours and their distance in Å.
Space group F-43m (No. 216)
One atom of each set of equivalent atoms:
Tl 0.0000 0.0000 0.0000  4 Ni 2.63
Cr 0.0000 0.0000 0.5000  4 Ni 2.63
Ni 0.2500 0.2500 0.2500  4 Cr 2.63, 4 Tl 2.63

energy relative to the lowest polymorph listed for this composition: 9.84 kJ/mol of atoms
magnetization: 3.81 μB/f.u.
ΔH_f (0 K): 0.55 eV/atom

Below is a relaxed structure of TlCrNi2, with properties calculated at the GGA-PBE level.

Cell: 3.1640 3.1640 5.8688 Å, 90.00 90.00 90.00°
Last column: nearest neighbours and their distance in Å.
Space group P4mm (No. 99)
One atom of each set of equivalent atoms:
Tl 0.0000 0.0000 0.0000  6 Ni 2.73-3.01, 4 Cr 2.93
Cr 0.5000 0.5000 0.3231  5 Ni 2.41-2.50
Ni 0.0000 0.0000 0.5135  4 Cr 2.50, 4 Ni 2.58
Ni 0.5000 0.5000 0.7335  1 Cr 2.41, 4 Ni 2.58

energy relative to the lowest polymorph listed for this composition: 7.23 kJ/mol of atoms
magnetization: 2.86 μB/f.u.
ΔH_f (0 K): 0.36 eV/atom

Below is a relaxed structure of TlCr2Ni, with properties calculated at the GGA-PBE level.

Cell: 3.9574 3.9574 7.7998 Å, 90.00 90.00 90.00°
Last column: nearest neighbours and their distance in Å.
Space group I-4m2 (No. 119)
One atom of each set of equivalent atoms:
Tl 0.0000 0.0000 0.0000  8 Cr 2.78-2.80, 4 Ni 2.78
Cr 0.0000 0.0000 0.5000  4 Cr 2.78, 4 Ni 2.78, 4 Tl 2.80
Cr 0.0000 0.5000 0.7500  4 Cr 2.78, 4 Tl 2.78, 4 Ni 2.80
Ni 0.0000 0.5000 0.2500  8 Cr 2.78-2.80, 4 Tl 2.78

energy relative to the lowest polymorph listed for this composition: 2.72 kJ/mol of atoms
magnetization: 0.20 μB/f.u.
ΔH_f (0 K): 0.40 eV/atom

Below is a relaxed structure of TlCr2Ni, with properties calculated at the GGA-PBE level.

Cell: 3.6396 3.6396 8.4504 Å, 90.00 90.00 90.00°
Last column: nearest neighbours and their distance in Å.
Space group I4/mmm (No. 139)
One atom of each set of equivalent atoms:
Tl 0.0000 0.0000 0.0000  4 Ni 2.57, 8 Cr 2.79
Cr 0.0000 0.5000 0.2500  4 Cr 2.57, 4 Tl 2.79, 4 Ni 2.79
Ni 0.0000 0.0000 0.5000  4 Tl 2.57, 8 Cr 2.79

energy relative to the lowest polymorph listed for this composition: 19.26 kJ/mol of atoms
magnetization: 0.00 μB/f.u.
ΔH_f (0 K): 0.57 eV/atom

Below is a relaxed structure of Tl4CrNi, with properties calculated at the GGA-PBE level.

Cell: 8.7303 8.7303 8.7303 Å, 90.00 90.00 90.00°
Last column: nearest neighbours and their distance in Å.
Space group F-43m (No. 216)
One atom of each set of equivalent atoms:
Tl 0.1253 0.1253 0.1253  6 Tl 3.08-3.09
Cr 0.2500 0.2500 0.7500  12 Tl 3.62, 4 Ni 3.78
Ni 0.0000 0.0000 0.5000  12 Tl 3.62, 4 Cr 3.78

magnetization: 5.26 μB/f.u.
ΔH_f (0 K): 0.91 eV/atom

Below is a relaxed structure of TlCr2Ni, with properties calculated at the GGA-PBE level.

Cell: 9.0593 2.9856 4.5107 Å, 90.00 104.28 90.00°
Last column: nearest neighbours and their distance in Å.
Space group C2/m (No. 12)
One atom of each set of equivalent atoms:
Tl 0.0000 0.0000 0.0000  4 Ni 2.70, 6 Cr 2.89-2.91, 2 Tl 2.99
Cr 0.2380 0.0000 0.6682  2 Cr 2.18
Ni 0.0000 0.5000 0.5000  6 Cr 2.58-2.66, 4 Tl 2.70

energy relative to the lowest polymorph listed for this composition: 14.63 kJ/mol of atoms
magnetization: 0.00 μB/f.u.
ΔH_f (0 K): 0.52 eV/atom

Below is a relaxed structure of TlCr2Ni, with properties calculated at the GGA-PBE level.

Cell: 6.3685 6.3685 6.3685 Å, 90.00 90.00 90.00°
Last column: nearest neighbours and their distance in Å.
Space group Fm-3m (No. 225)
One atom of each set of equivalent atoms:
Tl 0.0000 0.0000 0.0000  8 Cr 2.76
Cr 0.2500 0.2500 0.2500  4 Tl 2.76, 4 Ni 2.76
Ni 0.0000 0.0000 0.5000  8 Cr 2.76

energy relative to the lowest polymorph listed for this composition: 22.23 kJ/mol of atoms
magnetization: 7.56 μB/f.u.
ΔH_f (0 K): 0.60 eV/atom

Below is a relaxed structure of TlCr2Ni, with properties calculated at the GGA-PBE level.

Cell: 3.6175 3.6175 4.2819 Å, 90.00 90.00 90.00°
Last column: nearest neighbours and their distance in Å.
Space group P4/mmm (No. 123)
One atom of each set of equivalent atoms:
Tl 0.0000 0.0000 0.0000  4 Ni 2.56, 8 Cr 2.80
Cr 0.0000 0.5000 0.5000  4 Cr 2.56, 4 Tl 2.80, 4 Ni 2.80
Ni 0.5000 0.5000 0.0000  4 Tl 2.56, 8 Cr 2.80

energy relative to the lowest polymorph listed for this composition: 21.12 kJ/mol of atoms
magnetization: 0.00 μB/f.u.
ΔH_f (0 K): 0.59 eV/atom

Below is a relaxed structure of TlCrNi2, with properties calculated at the GGA-PBE level.

Cell: 3.0178 4.0737 5.1398 Å, 90.00 106.95 90.00°
Last column: nearest neighbours and their distance in Å.
Space group Pm (No. 6)
One atom of each set of equivalent atoms:
Tl 0.0000 0.0000 0.0000  7 Ni 2.57-2.79
Cr 0.6907 0.5000 0.3784  7 Ni 2.57-2.83
Ni 0.2633 0.0000 0.5235  2 Ni 2.46, 1 Tl 2.57, 4 Cr 2.63
Ni 0.4026 0.5000 0.8029  2 Ni 2.46, 2 Cr 2.57-2.58, 4 Tl 2.71

energy relative to the lowest polymorph listed for this composition: 10.23 kJ/mol of atoms
magnetization: 3.52 μB/f.u.
ΔH_f (0 K): 0.39 eV/atom

Below is a relaxed structure of TlCr2Ni, with properties calculated at the GGA-PBE level.

Cell: 3.0950 3.0950 6.2746 Å, 90.00 90.00 90.00°
Last column: nearest neighbours and their distance in Å.
Space group P4mm (No. 99)
One atom of each set of equivalent atoms:
Tl 0.0000 0.0000 0.0000  4 Ni 2.75, 4 Cr 2.97
Cr 0.0000 0.0000 0.5068  4 Cr 2.49, 4 Ni 2.62
Cr 0.5000 0.5000 0.3191  4 Cr 2.49, 1 Ni 2.61
Ni 0.5000 0.5000 0.7354  5 Cr 2.61-2.62, 4 Tl 2.75

energy relative to the lowest polymorph listed for this composition: 0.00 kJ/mol of atoms
magnetization: 0.26 μB/f.u.
ΔH_f (0 K): 0.37 eV/atom

Below is a relaxed structure of TlCrNi2, with properties calculated at the GGA-PBE level.

Cell: 3.0699 3.0699 6.1508 Å, 90.00 90.00 90.00°
Last column: nearest neighbours and their distance in Å.
Space group P4/mmm (No. 123)
One atom of each set of equivalent atoms:
Tl 0.0000 0.0000 0.0000  8 Ni 2.84, 4 Tl 3.07, 2 Cr 3.08
Cr 0.0000 0.0000 0.5000  8 Ni 2.50
Ni 0.5000 0.5000 0.2972  1 Ni 2.50, 4 Cr 2.50

energy relative to the lowest polymorph listed for this composition: 0.00 kJ/mol of atoms
magnetization: 2.29 μB/f.u.
ΔH_f (0 K): 0.29 eV/atom

Below is a relaxed structure of TlCrNi, with properties calculated at the GGA-PBE level.

Cell: 4.4347 4.4347 2.9818 Å, 90.00 90.00 120.00°
Last column: nearest neighbours and their distance in Å.
Space group P3m1 (No. 156)
One atom of each set of equivalent atoms:
Tl 0.0000 0.0000 0.0000  3 Ni 2.57
Cr 0.6667 0.3333 0.4798  6 Ni 2.88-3.05, 6 Tl 2.93-2.99, 2 Cr 2.98
Ni 0.3333 0.6667 0.9223  3 Tl 2.57

energy relative to the lowest polymorph listed for this composition: 8.41 kJ/mol of atoms
magnetization: 3.95 μB/f.u.
ΔH_f (0 K): 0.54 eV/atom

Below is a relaxed structure of TlCr2Ni, with properties calculated at the GGA-PBE level.

Cell: 6.9838 6.9838 5.0294 Å, 90.00 90.00 90.00°
Last column: nearest neighbours and their distance in Å.
Space group I-42d (No. 122)
One atom of each set of equivalent atoms:
Tl 0.0000 0.0000 0.0000  2 Ni 2.51, 4 Cr 2.76
Cr 0.2084 0.2500 0.6250  2 Ni 2.36, 2 Cr 2.58
Ni 0.0000 0.0000 0.5000  4 Cr 2.36, 2 Tl 2.51

energy relative to the lowest polymorph listed for this composition: 61.23 kJ/mol of atoms
magnetization: 0.00 μB/f.u.
ΔH_f (0 K): 1.00 eV/atom

Below is a relaxed structure of TlCrNi2, with properties calculated at the GGA-PBE level.

Cell: 4.0403 4.0403 3.6004 Å, 90.00 90.00 90.00°
Last column: nearest neighbours and their distance in Å.
Space group P4/mmm (No. 123)
One atom of each set of equivalent atoms:
Tl 0.0000 0.0000 0.0000  8 Ni 2.71, 4 Cr 2.86
Cr 0.5000 0.5000 0.0000  8 Ni 2.71, 4 Tl 2.86
Ni 0.0000 0.5000 0.5000  4 Cr 2.71, 4 Tl 2.71, 4 Ni 2.86

energy relative to the lowest polymorph listed for this composition: 2.70 kJ/mol of atoms
magnetization: 4.42 μB/f.u.
ΔH_f (0 K): 0.31 eV/atom

Below is a relaxed structure of Tl2ZnCrNi, with properties calculated at the GGA-PBE level.

Cell: 5.2594 5.2594 4.8431 Å, 90.00 90.00 90.00°
Last column: nearest neighbours and their distance in Å.
Space group P4/mmm (No. 123)
One atom of each set of equivalent atoms:
Tl 0.0000 0.5000 0.0000  2 Cr 2.63
Zn 0.0000 0.0000 0.5000  2 Cr 2.42
Cr 0.0000 0.0000 0.0000  2 Zn 2.42, 4 Tl 2.63
Ni 0.5000 0.5000 0.5000  8 Tl 3.57, 4 Zn 3.72

magnetization: 4.64 μB/f.u.
ΔH_f (0 K): 1.06 eV/atom

Below is a relaxed structure of Tm2CrNi9, with properties calculated at the GGA-PBE level.

Cell: 4.8665 4.8665 23.9563 Å, 90.00 90.00 120.00°
Last column: nearest neighbours and their distance in Å.
Space group R-3m (No. 166, hexagonal axes)
One atom of each set of equivalent atoms:
Tm 0.0000 0.0000 0.1354  9 Ni 2.75-2.91
Cr 0.0000 0.0000 0.0000  18 Ni 2.81-3.12
Ni 0.0000 0.0000 0.3332  6 Ni 2.40-2.42
Ni 0.0000 0.0000 0.5000  6 Ni 2.48
Ni 0.0017 0.5009 0.9183  7 Ni 2.40-2.48

magnetization: 6.14 μB/f.u.
ΔH_f (0 K): -0.18 eV/atom

Below is a relaxed structure of UCrNi4, with properties calculated at the GGA-PBE level.

Cell: 6.8592 6.8592 6.8592 Å, 90.00 90.00 90.00°
Last column: nearest neighbours and their distance in Å.
Space group F-43m (No. 216)
One atom of each set of equivalent atoms:
U 0.0000 0.0000 0.0000  12 Ni 2.85, 4 Cr 2.97
Cr 0.2500 0.2500 0.7500  12 Ni 2.84, 4 U 2.97
Ni 0.1242 0.1242 0.3758  6 Ni 2.41-2.44

magnetization: 4.17 μB/f.u.
ΔH_f (0 K): -0.14 eV/atom

Below is a relaxed structure of VCrNi4, with properties calculated at the GGA-PBE level.

Cell: 2.4930 2.4930 10.8672 Å, 90.00 90.00 90.00°
Last column: nearest neighbours and their distance in Å.
Space group P4/mmm (No. 123)
One atom of each set of equivalent atoms:
V 0.0000 0.0000 0.0000  4 V 2.49, 8 Ni 2.56
Cr 0.5000 0.5000 0.5000  4 Cr 2.49, 8 Ni 2.50
Ni 0.0000 0.0000 0.3366  8 Ni 2.49-2.52, 4 Cr 2.50
Ni 0.5000 0.5000 0.1703  8 Ni 2.49-2.52, 4 V 2.56

energy relative to the lowest polymorph listed for this composition: 0.00 kJ/mol of atoms
magnetization: 0.00 μB/f.u.
ΔH_f (0 K): -0.07 eV/atom

Below is a relaxed structure of VCrNi, with properties calculated at the GGA-PBE level.

Cell: 2.9647 2.9647 8.4218 Å, 90.00 90.00 90.00°
Last column: nearest neighbours and their distance in Å.
Space group I4mm (No. 107)
One atom of each set of equivalent atoms:
V 0.0000 0.0000 0.0000  4 Cr 2.48, 4 Ni 2.53
Cr 0.0000 0.0000 0.3416  4 V 2.48, 5 Ni 2.56-2.74
Ni 0.0000 0.0000 0.6674  5 V 2.53-2.80, 5 Cr 2.56-2.74

energy relative to the lowest polymorph listed for this composition: 13.52 kJ/mol of atoms
magnetization: 2.19 μB/f.u.
ΔH_f (0 K): 0.08 eV/atom

Below is a relaxed structure of VCrNi2, with properties calculated at the GGA-PBE level.

Cell: 6.4637 6.4637 4.8352 Å, 90.00 90.00 90.00°
Last column: nearest neighbours and their distance in Å.
Space group I-42d (No. 122)
One atom of each set of equivalent atoms:
V 0.0000 0.0000 0.0000  4 Ni 2.37, 2 Cr 2.42
Cr 0.0000 0.0000 0.5000  4 Ni 2.36, 2 V 2.42
Ni 0.2485 0.2500 0.6250  2 Cr 2.36, 2 V 2.37, 2 Ni 2.42

magnetization: 0.96 μB/f.u.
ΔH_f (0 K): 0.39 eV/atom